[1]
Material: Pr3Sn6Pb
Method: DFT, PBE
State: relaxed

* V: 283.0 Å³/cell
* E: -4.78 eV/atom
* total magnetic moment: 0.00 Bohr magnetons per cell

Cell: 13.2296 13.2296 4.6998 Å, 90.00 90.00 159.88°
Fractional coordinates of all 10 atoms:
1 Pb 0.0000 0.0000 0.5000
2 Pr 0.6862 0.3138 0.0000
3 Pr 0.5000 0.5000 0.0000
4 Pr 0.3138 0.6862 0.0000
5 Sn 0.9039 0.0961 0.0000
6 Sn 0.0961 0.9039 0.0000
7 Sn 0.7896 0.2104 0.5000
8 Sn 0.5970 0.4030 0.5000
9 Sn 0.4030 0.5970 0.5000
10 Sn 0.2104 0.7896 0.5000

---

[2]
Material: Pr2SnPb
Method: DFT, PBE
State: relaxed

* V: 124.8 Å³/cell
* E: -4.99 eV/atom
* total magnetic moment: 0.01 Bohr magnetons per cell

Cell: 4.5399 6.4015 6.4015 Å, 42.12 90.00 90.00°
Fractional coordinates of all 4 atoms:
1 Pb 0.0000 0.5906 0.5906
2 Pr 0.5000 0.1369 0.1369
3 Pr 0.0000 0.8638 0.8638
4 Sn 0.5000 0.4086 0.4086

---

[3]
Material: Pr3Sn5Pb2
Method: DFT, PBE
State: relaxed

* V: 286.9 Å³/cell
* E: -4.73 eV/atom
* total magnetic moment: 0.00 Bohr magnetons per cell

Cell: 13.2559 13.2559 4.7703 Å, 90.00 90.00 159.98°
Fractional coordinates of all 10 atoms:
1 Pb 0.5967 0.4033 0.0000
2 Pb 0.4033 0.5967 0.0000
3 Pr 0.6871 0.3129 0.5000
4 Pr 0.5000 0.5000 0.5000
5 Pr 0.3129 0.6871 0.5000
6 Sn 0.0000 0.0000 0.0000
7 Sn 0.7897 0.2103 0.0000
8 Sn 0.2103 0.7897 0.0000
9 Sn 0.9050 0.0950 0.5000
10 Sn 0.0950 0.9050 0.5000

---

[4]
Material: Pr3Sn4Pb3
Method: DFT, PBE
State: relaxed

* V: 291.2 Å³/cell
* E: -4.68 eV/atom
* total magnetic moment: 0.01 Bohr magnetons per cell

Cell: 13.3152 13.3152 4.7943 Å, 90.00 90.00 159.96°
Fractional coordinates of all 10 atoms:
1 Pb 0.9023 0.0977 0.5000
2 Pb 0.5000 0.5000 0.5000
3 Pb 0.0977 0.9023 0.5000
4 Pr 0.0000 0.0000 0.0000
5 Pr 0.8124 0.1876 0.0000
6 Pr 0.1876 0.8124 0.0000
7 Sn 0.5960 0.4040 0.0000
8 Sn 0.4040 0.5960 0.0000
9 Sn 0.7106 0.2894 0.5000
10 Sn 0.2894 0.7106 0.5000

---

[5]
Material: Pr3Sn2Pb5
Method: DFT, PBE
State: relaxed

* V: 297.9 Å³/cell
* E: -4.58 eV/atom
* total magnetic moment: 0.01 Bohr magnetons per cell

Cell: 13.3818 13.3818 4.8046 Å, 90.00 90.00 159.75°
Fractional coordinates of all 10 atoms:
1 Pb 0.9022 0.0978 0.0000
2 Pb 0.5000 0.5000 0.0000
3 Pb 0.0978 0.9022 0.0000
4 Pb 0.5967 0.4033 0.5000
5 Pb 0.4033 0.5967 0.5000
6 Pr 0.0000 0.0000 0.5000
7 Pr 0.8106 0.1894 0.5000
8 Pr 0.1894 0.8106 0.5000
9 Sn 0.7102 0.2898 0.0000
10 Sn 0.2898 0.7102 0.0000

---

[6]
Material: PrSnPb
Method: DFT, PBE
State: relaxed

* V: 105.3 Å³/cell
* distance to the lowest polymorph of the same formula: 0.000 eV/atom
* E: -4.37 eV/atom
* total magnetic moment: 0.01 Bohr magnetons per cell

Cell: 5.3012 5.3012 5.3012 Å, 60.00 60.00 60.00°
Fractional coordinates of all 3 atoms:
1 Pb 0.2500 0.2500 0.2500
2 Pr 0.7500 0.7500 0.7500
3 Sn 0.0000 0.0000 0.0000

---

[7]
Material: PrSnTe3Pb
Method: DFT, PBE
State: relaxed

* V: 392.0 Å³/cell
* E: -4.23 eV/atom
* total magnetic moment: 0.02 Bohr magnetons per cell

Cell: 8.1445 8.1445 11.0921 Å, 90.00 90.00 147.81°
Fractional coordinates of all 12 atoms:
1 Pb 0.2237 0.7763 0.2500
2 Pb 0.7763 0.2237 0.7500
3 Pr 0.0000 0.0000 0.0000
4 Pr 0.0000 0.0000 0.5000
5 Sn 0.5227 0.4773 0.2500
6 Sn 0.4773 0.5227 0.7500
7 Te 0.6484 0.3516 0.0386
8 Te 0.8775 0.1225 0.2500
9 Te 0.6484 0.3516 0.4614
10 Te 0.3516 0.6484 0.5386
11 Te 0.1225 0.8775 0.7500
12 Te 0.3516 0.6484 0.9614

---

[8]
Material: PrTaPb
Method: DFT, PBE
State: relaxed

* V: 88.0 Å³/cell
* distance to the lowest polymorph of the same formula: 0.000 eV/atom
* E: -6.08 eV/atom
* total magnetic moment: 1.13 Bohr magnetons per cell

Cell: 4.9920 4.9920 4.9920 Å, 60.00 60.00 60.00°
Fractional coordinates of all 3 atoms:
1 Pb 0.0000 0.0000 0.0000
2 Pr 0.2500 0.2500 0.2500
3 Ta 0.7500 0.7500 0.7500

---

[9]
Material: PrTaPb
Method: DFT, PBE
State: relaxed

* V: 98.1 Å³/cell
* distance to the lowest polymorph of the same formula: 0.491 eV/atom
* E: -5.59 eV/atom
* total magnetic moment: 3.19 Bohr magnetons per cell

Cell: 5.1770 5.1770 5.1770 Å, 60.00 60.00 60.00°
Fractional coordinates of all 3 atoms:
1 Pb 0.2500 0.2500 0.2500
2 Pr 0.0000 0.0000 0.0000
3 Ta 0.7500 0.7500 0.7500

---

[10]
Material: TbPrPb2
Method: DFT, PBE
State: relaxed

* V: 123.7 Å³/cell
* E: -4.73 eV/atom
* total magnetic moment: 0.00 Bohr magnetons per cell

Cell: 4.4960 6.3756 6.3756 Å, 42.61 90.00 90.00°
Fractional coordinates of all 4 atoms:
1 Pb 0.5000 0.0976 0.0976
2 Pb 0.0000 0.9018 0.9018
3 Pr 0.0000 0.6316 0.6316
4 Tb 0.5000 0.3690 0.3690

---

[11]
Material: TbPrZn2Pb2
Method: DFT, PBE
State: relaxed

* V: 307.4 Å³/cell
* distance to the lowest polymorph of the same formula: 0.018 eV/atom
* E: -3.67 eV/atom
* total magnetic moment: 0.02 Bohr magnetons per cell

Cell: 4.6607 4.6607 16.3423 Å, 90.00 90.00 120.00°
Fractional coordinates of all 12 atoms:
1 Pb 0.6667 0.3333 0.1082
2 Pb 0.6667 0.3333 0.3918
3 Pb 0.3333 0.6667 0.6082
4 Pb 0.3333 0.6667 0.8918
5 Pr 0.0000 0.0000 0.2500
6 Pr 0.0000 0.0000 0.7500
7 Tb 0.0000 0.0000 0.0000
8 Tb 0.0000 0.0000 0.5000
9 Zn 0.3333 0.6667 0.1616
10 Zn 0.3333 0.6667 0.3384
11 Zn 0.6667 0.3333 0.6616
12 Zn 0.6667 0.3333 0.8384

---

[12]
Material: TbPrZn2Pb2
Method: DFT, PBE
State: relaxed

* V: 306.4 Å³/cell
* distance to the lowest polymorph of the same formula: 0.000 eV/atom
* E: -3.68 eV/atom
* total magnetic moment: 0.01 Bohr magnetons per cell

Cell: 4.6327 4.6327 16.4865 Å, 90.00 90.00 120.00°
Fractional coordinates of all 12 atoms:
1 Pb 0.6667 0.3333 0.1153
2 Pb 0.6667 0.3333 0.3847
3 Pb 0.3333 0.6667 0.6153
4 Pb 0.3333 0.6667 0.8847
5 Pr 0.0000 0.0000 0.0000
6 Pr 0.0000 0.0000 0.5000
7 Tb 0.0000 0.0000 0.2500
8 Tb 0.0000 0.0000 0.7500
9 Zn 0.3333 0.6667 0.1668
10 Zn 0.3333 0.6667 0.3332
11 Zn 0.6667 0.3333 0.6668
12 Zn 0.6667 0.3333 0.8332